1.
Th4Tl3Fe | PBE | optimized geometry

Crystal system: orthorhombic
Formation energy from the elements (meV/atom): 46

Lattice parameters (Å, degrees): 4.8800 11.3217 8.3998 90.00 90.00 90.00
Fractional coordinates of all 16 atoms:
1 Th 0.2500 0.0008 0.1661
2 Th 0.2500 0.2500 0.9364
3 Th 0.2500 0.4992 0.1661
4 Th 0.2500 0.7500 0.7457
5 Th 0.7500 0.2500 0.2543
6 Th 0.7500 0.5008 0.8339
7 Th 0.7500 0.7500 0.0636
8 Th 0.7500 0.9992 0.8339
9 Tl 0.2500 0.0897 0.5519
10 Tl 0.2500 0.4103 0.5519
11 Tl 0.2500 0.7500 0.3415
12 Tl 0.7500 0.2500 0.6585
13 Tl 0.7500 0.5897 0.4481
14 Tl 0.7500 0.9103 0.4481
15 Fe 0.2500 0.2500 0.2767
16 Fe 0.7500 0.7500 0.7233



2.
Th2TlFe | PBE | optimized geometry

Crystal system: trigonal
Formation energy from the elements (meV/atom): -90

Lattice parameters (Å, degrees): 8.6135 8.6135 8.6135 26.39 26.39 26.39
Fractional coordinates of all 4 atoms:
1 Th 0.2259 0.2259 0.2259
2 Th 0.7741 0.7741 0.7741
3 Tl 0.0000 0.0000 0.0000
4 Fe 0.5000 0.5000 0.5000



3.
Th4Tl5Fe2 | PBE | optimized geometry

Crystal system: monoclinic
Formation energy from the elements (meV/atom): -116

Lattice parameters (Å, degrees): 8.2027 3.6944 9.6598 90.00 94.42 90.00
Fractional coordinates of all 11 atoms:
1 Th 0.1805 0.0000 0.3268
2 Th 0.2021 0.0000 0.9387
3 Th 0.7979 0.0000 0.0613
4 Th 0.8195 0.0000 0.6732
5 Tl 0.1554 0.5000 0.6362
6 Tl 0.4638 0.5000 0.1641
7 Tl 0.5000 0.5000 0.5000
8 Tl 0.5362 0.5000 0.8359
9 Tl 0.8446 0.5000 0.3638
10 Fe 0.1041 0.5000 0.1263
11 Fe 0.8959 0.5000 0.8737



4.
Th6TlFe2 | PBE | optimized geometry

Crystal system: orthorhombic
Formation energy from the elements (meV/atom): -24

Lattice parameters (Å, degrees): 8.6033 8.6033 8.6033 114.52 108.91 105.13
Fractional coordinates of all 18 atoms:
1 Th 0.0223 0.2338 0.7885
2 Th 0.1794 0.2999 0.4793
3 Th 0.1794 0.7001 0.8795
4 Th 0.3280 0.0169 0.6889
5 Th 0.3280 0.6391 0.3111
6 Th 0.4453 0.2338 0.2115
7 Th 0.5547 0.7662 0.7885
8 Th 0.6720 0.3609 0.6889
9 Th 0.6720 0.9831 0.3111
10 Th 0.8206 0.2999 0.1205
11 Th 0.8206 0.7001 0.5207
12 Th 0.9777 0.7662 0.2115
13 Tl 0.0000 0.0000 0.0000
14 Tl 0.5000 0.5000 0.0000
15 Fe 0.1308 0.6308 0.5000
16 Fe 0.3498 0.0000 0.3498
17 Fe 0.6502 0.0000 0.6502
18 Fe 0.8692 0.3692 0.5000



5.
Th11Tl9Fe4 | PBE | optimized geometry

Crystal system: orthorhombic
Formation energy from the elements (meV/atom): -119

Lattice parameters (Å, degrees): 13.5231 13.5231 3.7545 90.00 90.00 112.67
Fractional coordinates of all 24 atoms:
1 Th 0.0000 0.0000 0.0000
2 Th 0.0957 0.4258 0.0000
3 Th 0.1514 0.8486 0.0000
4 Th 0.3164 0.3164 0.0000
5 Th 0.3745 0.6255 0.0000
6 Th 0.4258 0.0957 0.0000
7 Th 0.5742 0.9043 0.0000
8 Th 0.6255 0.3745 0.0000
9 Th 0.6836 0.6836 0.0000
10 Th 0.8486 0.1514 0.0000
11 Th 0.9043 0.5742 0.0000
12 Tl 0.0798 0.2211 0.5000
13 Tl 0.1506 0.6416 0.5000
14 Tl 0.2211 0.0798 0.5000
15 Tl 0.3584 0.8494 0.5000
16 Tl 0.5000 0.5000 0.5000
17 Tl 0.6416 0.1506 0.5000
18 Tl 0.7789 0.9202 0.5000
19 Tl 0.8494 0.3584 0.5000
20 Tl 0.9202 0.7789 0.5000
21 Fe 0.2465 0.4394 0.5000
22 Fe 0.4394 0.2465 0.5000
23 Fe 0.5606 0.7535 0.5000
24 Fe 0.7535 0.5606 0.5000



6.
Th12TlFe6 | PBE | optimized geometry

Crystal system: cubic
Formation energy from the elements (meV/atom): -54

Lattice parameters (Å, degrees): 8.5962 8.5962 8.5962 109.47 109.47 109.47
Fractional coordinates of all 19 atoms:
1 Th 0.1359 0.8194 0.3165
2 Th 0.1806 0.3165 0.4970
3 Th 0.1806 0.6835 0.8641
4 Th 0.3165 0.1359 0.8194
5 Th 0.3165 0.4970 0.1806
6 Th 0.4970 0.1806 0.3165
7 Th 0.5030 0.8194 0.6835
8 Th 0.6835 0.5030 0.8194
9 Th 0.6835 0.8641 0.1806
10 Th 0.8194 0.3165 0.1359
11 Th 0.8194 0.6835 0.5030
12 Th 0.8641 0.1806 0.6835
13 Tl 0.0000 0.0000 0.0000
14 Fe 0.1386 0.6386 0.5000
15 Fe 0.3614 0.5000 0.8614
16 Fe 0.5000 0.1386 0.6386
17 Fe 0.5000 0.8614 0.3614
18 Fe 0.6386 0.5000 0.1386
19 Fe 0.8614 0.3614 0.5000



7.
TmThFe | PBE | optimized geometry

Crystal system: tetragonal
Formation energy from the elements (meV/atom): 54

Lattice parameters (Å, degrees): 6.6569 6.6569 6.6569 150.45 150.45 42.27
Fractional coordinates of all 3 atoms:
1 Tm 0.0000 0.0000 0.0000
2 Th 0.2647 0.2647 0.0000
3 Fe 0.6375 0.6375 0.0000



8.
TmThFe | PBE | optimized geometry

Crystal system: trigonal
Formation energy from the elements (meV/atom): 86

Lattice parameters (Å, degrees): 3.8457 3.8457 6.0603 90.00 90.00 120.00
Fractional coordinates of all 3 atoms:
1 Tm 0.0000 0.0000 0.0000
2 Th 0.3333 0.6667 0.5190
3 Fe 0.6667 0.3333 0.7406



9.
TmTh2Fe | PBE | optimized geometry

Crystal system: tetragonal
Formation energy from the elements (meV/atom): 94

Lattice parameters (Å, degrees): 3.5019 3.5019 8.5904 90.00 90.00 90.00
Fractional coordinates of all 4 atoms:
1 Tm 0.0000 0.0000 0.0000
2 Th 0.5000 0.5000 0.2993
3 Th 0.5000 0.5000 0.7007
4 Fe 0.0000 0.0000 0.5000



10.
TmTh2Fe | PBE | optimized geometry

Crystal system: orthorhombic
Formation energy from the elements (meV/atom): -66

Lattice parameters (Å, degrees): 6.9627 9.7662 6.1500 90.00 90.00 90.00
Fractional coordinates of all 16 atoms:
1 Tm 0.0487 0.2500 0.1552
2 Tm 0.4513 0.7500 0.6552
3 Tm 0.5487 0.2500 0.3448
4 Tm 0.9513 0.7500 0.8448
5 Th 0.1677 0.0686 0.6751
6 Th 0.1677 0.4314 0.6751
7 Th 0.3323 0.5686 0.1751
8 Th 0.3323 0.9314 0.1751
9 Th 0.6677 0.0686 0.8249
10 Th 0.6677 0.4314 0.8249
11 Th 0.8323 0.5686 0.3249
12 Th 0.8323 0.9314 0.3249
13 Fe 0.1046 0.7500 0.3927
14 Fe 0.3954 0.2500 0.8927
15 Fe 0.6046 0.7500 0.1073
16 Fe 0.8954 0.2500 0.6073



11.
Tm3Th2Fe2 | PBE | optimized geometry

Crystal system: monoclinic
Formation energy from the elements (meV/atom): -72

Lattice parameters (Å, degrees): 6.1793 6.1793 8.7566 111.75 111.75 34.44
Fractional coordinates of all 7 atoms:
1 Tm 0.0000 0.0000 0.0000
2 Tm 0.1206 0.1206 0.4146
3 Tm 0.8794 0.8794 0.5854
4 Th 0.3314 0.3314 0.2014
5 Th 0.6686 0.6686 0.7986
6 Fe 0.3044 0.3044 0.7715
7 Fe 0.6956 0.6956 0.2285



12.
TmTh4Fe2 | PBE | optimized geometry

Crystal system: monoclinic
Formation energy from the elements (meV/atom): -11

Lattice parameters (Å, degrees): 7.0735 6.7540 8.3187 90.00 113.02 90.00
Fractional coordinates of all 14 atoms:
1 Tm 0.0001 0.2500 0.2289
2 Tm 0.9999 0.7500 0.7711
3 Th 0.2273 0.7500 0.2139
4 Th 0.2999 0.0015 0.6042
5 Th 0.2999 0.4985 0.6042
6 Th 0.3330 0.2500 0.0042
7 Th 0.6670 0.7500 0.9958
8 Th 0.7001 0.5015 0.3958
9 Th 0.7001 0.9985 0.3958
10 Th 0.7727 0.2500 0.7861
11 Fe 0.0246 0.2500 0.6396
12 Fe 0.4067 0.2500 0.3625
13 Fe 0.5933 0.7500 0.6375
14 Fe 0.9754 0.7500 0.3604